[1]
VASP calculation (SCAN) on a crystal of CrRe2Te relaxed with PBEsol.

Structure (CIF):
```
data_CrRe2Te
_chemical_formula_sum 'Cr1 Re2 Te1'
_cell_length_a 3.075
_cell_length_b 4.409
_cell_length_c 4.489
_cell_angle_alpha 90.00
_cell_angle_beta 90.00
_cell_angle_gamma 90.00
_symmetry_space_group_name_H-M 'P m m m'
_symmetry_Int_Tables_number 47
loop_
_symmetry_equiv_pos_as_xyz
'x,y,z'
'-x,-y,-z'
'-x,-y,z'
'x,y,-z'
'x,-y,-z'
'-x,y,z'
'-x,y,-z'
'x,-y,z'
loop_
_atom_site_label
_atom_site_type_symbol
_atom_site_fract_x
_atom_site_fract_y
_atom_site_fract_z
Cr1 Cr 0.000 0.000 0.000
Re1 Re 0.000 0.500 0.500
Re2 Re 0.500 0.000 0.500
Te1 Te 0.500 0.500 0.000
```

## Properties
Density, g cm⁻³: 15.1
Formation energy without anion corrections, eV/atom: 0.68
VASP energy, eV per atom: -48.7727



[2]
VASP calculation (SCAN) on a crystal of ZrMnIn relaxed with PBEsol.

Structure (CIF):
```
data_ZrMnIn
_chemical_formula_sum 'Zr1 Mn1 In1'
_cell_length_a 3.0834
_cell_length_b 3.0834
_cell_length_c 7.0091
_cell_angle_alpha 90.00
_cell_angle_beta 90.00
_cell_angle_gamma 120.00
_symmetry_space_group_name_H-M 'P 3 m 1'
_symmetry_Int_Tables_number 156
loop_
_symmetry_equiv_pos_as_xyz
'x,y,z'
'-y,x-y,z'
'-x+y,-x,z'
'-y,-x,z'
'-x+y,y,z'
'x,x-y,z'
loop_
_atom_site_label
_atom_site_type_symbol
_atom_site_fract_x
_atom_site_fract_y
_atom_site_fract_z
Zr1 Zr 0.0000 0.0000 0.0000
Mn1 Mn 0.3333 0.6667 0.3125
In1 In 0.6667 0.3333 0.6316
```

## Properties
Density, g cm⁻³: 7.5
ΔE_f, eV/atom: -0.028
VASP energy, eV per atom: -27.4751



[3]
VASP calculation (SCAN) on a crystal of LiMnP4H4O14 relaxed with PBEsol.

Structure (CIF):
```
data_LiMnP4H4O14
_chemical_formula_sum 'Li1 Mn1 P4 H4 O14'
_cell_length_a 5.253
_cell_length_b 6.901
_cell_length_c 7.692
_cell_angle_alpha 88.81
_cell_angle_beta 79.78
_cell_angle_gamma 69.69
_symmetry_space_group_name_H-M 'P -1'
_symmetry_Int_Tables_number 2
loop_
_symmetry_equiv_pos_as_xyz
'x,y,z'
'-x,-y,-z'
loop_
_atom_site_label
_atom_site_type_symbol
_atom_site_fract_x
_atom_site_fract_y
_atom_site_fract_z
Li1 Li 0.000 0.000 0.000
Mn1 Mn 0.500 0.500 0.000
P1 P 0.037 0.357 0.224
P2 P 0.429 0.231 0.694
H1 H 0.125 0.799 0.554
H2 H 0.369 0.943 0.640
O1 O 0.064 0.202 0.375
O2 O 0.089 0.697 0.923
O3 O 0.162 0.426 0.682
O4 O 0.319 0.051 0.746
O5 O 0.322 0.372 0.172
O6 O 0.395 0.807 0.489
O7 O 0.432 0.727 0.161
```

## Properties
Density, g cm⁻³: 2.7
VASP energy, eV per atom: -8.8796



[4]
VASP calculation (SCAN) on a crystal of ScFe3Ag relaxed with PBEsol.

Structure (CIF):
```
data_ScFe3Ag
_chemical_formula_sum 'Sc1 Fe3 Ag1'
_cell_length_a 4.603
_cell_length_b 4.603
_cell_length_c 4.603
_cell_angle_alpha 90.00
_cell_angle_beta 90.00
_cell_angle_gamma 90.00
_symmetry_space_group_name_H-M 'P m -3 m'
_symmetry_Int_Tables_number 221
_symmetry_space_group_name_Hall '-P 4 2 3'
loop_
_atom_site_label
_atom_site_type_symbol
_atom_site_fract_x
_atom_site_fract_y
_atom_site_fract_z
Sc1 Sc 0.000 0.000 0.000
Fe1 Fe 0.000 0.500 0.500
Ag1 Ag 0.500 0.500 0.500
```

## Properties
Density, g cm⁻³: 5.5
ΔE_f, eV/atom: 1.042
VASP energy, eV per atom: -18.9566



[5]
VASP calculation (SCAN) on a crystal of ScNiPt2 relaxed with PBEsol.

Structure (CIF):
```
data_ScNiPt2
_chemical_formula_sum 'Sc2 Ni2 Pt4'
_cell_length_a 3.847
_cell_length_b 3.847
_cell_length_c 7.930
_cell_angle_alpha 90.00
_cell_angle_beta 90.00
_cell_angle_gamma 90.00
_symmetry_space_group_name_H-M 'I -4 m 2'
_symmetry_Int_Tables_number 119
_symmetry_space_group_name_Hall 'I -4 -2'
loop_
_atom_site_label
_atom_site_type_symbol
_atom_site_fract_x
_atom_site_fract_y
_atom_site_fract_z
Sc1 Sc 0.000 0.000 0.000
Ni1 Ni 0.000 0.500 0.250
Pt1 Pt 0.000 0.000 0.500
Pt2 Pt 0.000 0.500 0.750
```

## Properties
Density, g cm⁻³: 14.0
ΔE_f, eV/atom: -0.857
VASP energy, eV per atom: -43.5562



[6]
VASP calculation (SCAN) on a crystal of CaSn2BPt relaxed with PBEsol.

Structure (CIF):
```
data_CaSn2BPt
_chemical_formula_sum 'Ca1 Sn2 B1 Pt1'
_cell_length_a 5.614
_cell_length_b 5.614
_cell_length_c 4.856
_cell_angle_alpha 90.00
_cell_angle_beta 90.00
_cell_angle_gamma 90.00
_symmetry_space_group_name_H-M 'P 4/m m m'
_symmetry_Int_Tables_number 123
_symmetry_space_group_name_Hall '-P 4 2'
loop_
_atom_site_label
_atom_site_type_symbol
_atom_site_fract_x
_atom_site_fract_y
_atom_site_fract_z
Ca1 Ca 0.000 0.000 0.000
Sn1 Sn 0.000 0.500 0.000
B1 B 0.500 0.500 0.500
Pt1 Pt 0.000 0.000 0.500
```

## Properties
Density, g cm⁻³: 5.2
ΔE_f, eV/atom: 1.807
VASP energy, eV per atom: -30.0190



[7]
VASP calculation (SCAN) on a crystal of BeCuRh2 relaxed with PBEsol.

Structure (CIF):
```
data_BeCuRh2
_chemical_formula_sum 'Be1 Cu1 Rh2'
_cell_length_a 2.750
_cell_length_b 2.750
_cell_length_c 6.080
_cell_angle_alpha 90.00
_cell_angle_beta 90.00
_cell_angle_gamma 90.00
_symmetry_space_group_name_H-M 'P 4/m m m'
_symmetry_Int_Tables_number 123
_symmetry_space_group_name_Hall '-P 4 2'
loop_
_atom_site_label
_atom_site_type_symbol
_atom_site_fract_x
_atom_site_fract_y
_atom_site_fract_z
Be1 Be 0.000 0.000 0.000
Cu1 Cu 0.000 0.000 0.500
Rh1 Rh 0.500 0.500 0.221
```

## Properties
Density, g cm⁻³: 10.1
ΔE_f, eV/atom: -0.294
VASP energy, eV per atom: -22.0681



[8]
VASP calculation (SCAN) on a crystal of Mg2TlFe relaxed with PBEsol.

Structure (CIF):
```
data_Mg2TlFe
_chemical_formula_sum 'Mg2 Tl1 Fe1'
_cell_length_a 3.047
_cell_length_b 3.047
_cell_length_c 8.216
_cell_angle_alpha 90.00
_cell_angle_beta 90.00
_cell_angle_gamma 90.00
_symmetry_space_group_name_H-M 'P 4/m m m'
_symmetry_Int_Tables_number 123
_symmetry_space_group_name_Hall '-P 4 2'
loop_
_atom_site_label
_atom_site_type_symbol
_atom_site_fract_x
_atom_site_fract_y
_atom_site_fract_z
Mg1 Mg 0.000 0.000 0.205
Tl1 Tl 0.500 0.500 0.500
Fe1 Fe 0.500 0.500 0.000
```

## Properties
Density, g cm⁻³: 6.7
ΔE_f, eV/atom: 0.146
VASP energy, eV per atom: -24.9632